8
Lattice="-1.552 2.045 -3.263 -4.009 1.080 -0.058 1.491 13.807 5.301" Properties=species:S:1:pos:R:3 comment="LiPrSeBr | the Alexandria database | PBE-GGA | relaxed" dos_ef_per_ev_cell=4.1 formation_energy_uncorrected_ev_per_atom=-1.525 spacegroup="No. 166" pbc="T T T"
Se -3.315 3.580 -1.463
Se -0.755 13.351 3.443
Li -2.428 15.080 2.681
Li -1.641 1.851 -0.701
Br -3.462 11.136 0.701
Br -0.608 5.795 1.279
Pr 0.671 10.676 3.729
Pr -4.740 6.256 -1.749


8
Lattice="4.368 0.000 0.000 2.184 3.783 0.000 2.184 1.261 14.941" Properties=species:S:1:pos:R:3 comment="LiPrTeBr | the Alexandria database | PBE-GGA | relaxed" dos_ef_per_ev_cell=4.3 formation_energy_uncorrected_ev_per_atom=-1.323 spacegroup="No. 166" pbc="T T T"
Br 6.552 3.783 13.118
Br 2.184 1.261 1.823
Te 6.552 3.783 5.582
Te 2.184 1.261 9.359
Li 2.184 1.261 6.486
Li 6.552 3.783 8.456
Pr 4.368 2.522 11.360
Pr 4.368 2.522 3.582


10
Lattice="-1.650 2.874 -6.612 -6.526 -1.472 -3.150 -5.363 5.797 -0.282" Properties=species:S:1:pos:R:3 comment="Li2PrTlBr6 | the Alexandria database | PBE-GGA | relaxed" dos_ef_per_ev_cell=0.0 formation_energy_uncorrected_ev_per_atom=-1.510 spacegroup="No. 146" pbc="T T T"
Br -3.938 2.743 -4.932
Br -7.524 0.773 -4.581
Br -6.379 6.206 -5.691
Br -9.410 4.185 -4.758
Br -6.464 4.341 -2.426
Br -6.739 3.028 -7.924
Li -5.283 5.631 -0.373
Li -6.651 3.359 -5.156
Pr -2.846 0.712 -3.118
Tl -9.771 4.627 -7.964


4
Lattice="4.892 0.000 0.000 0.000 4.510 -0.104 0.000 1.660 4.269" Properties=species:S:1:pos:R:3 comment="LiPtBr2 | the Alexandria database | PBE-GGA | relaxed" dos_ef_per_ev_cell=1.4 formation_energy_uncorrected_ev_per_atom=-0.476 de_polymorph_kj_per_mol_fu=2 spacegroup="No. 6" pbc="T T T"
Br 2.446 2.043 1.385
Br 0.000 5.389 3.634
Li 0.000 3.096 2.075
Pt 2.446 4.898 3.318


6
Lattice="5.425 0.003 -0.001 -0.493 6.410 -0.001 -0.013 -0.020 3.703" Properties=species:S:1:pos:R:3 comment="LiPtBr | the Alexandria database | PBE-GGA | relaxed" dos_ef_per_ev_cell=0.0 formation_energy_uncorrected_ev_per_atom=-0.608 de_polymorph_kj_per_mol_fu=13 spacegroup="No. 1" pbc="T T T"
Br 1.168 6.401 0.630
Br 3.558 4.130 2.492
Li 3.244 1.321 2.482
Li 0.918 3.941 2.509
Pt 4.727 2.758 0.639
Pt 0.454 1.380 2.488


5
Lattice="4.776 0.000 0.000 0.000 4.776 0.000 0.000 0.000 4.776" Properties=species:S:1:pos:R:3 comment="LiPt3Br | the Alexandria database | PBE-GGA | relaxed" dos_ef_per_ev_cell=1.2 formation_energy_uncorrected_ev_per_atom=0.798 de_polymorph_kj_per_mol_fu=0 spacegroup="No. 221" pbc="T T T"
Li 2.388 2.388 2.388
Pt 2.388 0.000 0.000
Pt 0.000 2.388 0.000
Pt 0.000 0.000 2.388
Br 0.000 0.000 0.000


6
Lattice="3.775 -2.179 0.000 0.000 4.359 0.000 0.000 0.000 7.495" Properties=species:S:1:pos:R:3 comment="LiPtBr | the Alexandria database | PBE-GGA | relaxed" dos_ef_per_ev_cell=2.2 formation_energy_uncorrected_ev_per_atom=-0.129 de_polymorph_kj_per_mol_fu=152 spacegroup="No. 194" pbc="T T T"
Li 0.000 0.000 0.000
Li 0.000 0.000 3.748
Br 2.517 0.000 1.874
Br 1.258 2.179 5.622
Pt 2.517 0.000 5.622
Pt 1.258 2.179 1.874


6
Lattice="9.281 0.000 0.103 1.885 1.856 -3.995 -1.885 1.856 3.995" Properties=species:S:1:pos:R:3 comment="LiPtBr | the Alexandria database | PBE-GGA | relaxed" dos_ef_per_ev_cell=0.0 formation_energy_uncorrected_ev_per_atom=-0.653 de_polymorph_kj_per_mol_fu=0 spacegroup="No. 8" pbc="T T T"
Li 8.182 1.856 1.409
Li 3.070 1.856 -2.619
Pt 6.696 1.856 3.485
Pt 1.112 1.856 -0.595
Br 6.852 1.856 -0.756
Br 1.127 1.856 3.385


6
Lattice="-5.856 1.668 -6.958 1.574 0.232 -4.524 -0.817 -3.581 3.083" Properties=species:S:1:pos:R:3 comment="LiPtBr | the Alexandria database | PBE-GGA | relaxed" dos_ef_per_ev_cell=0.0 formation_energy_uncorrected_ev_per_atom=-0.607 de_polymorph_kj_per_mol_fu=13 spacegroup="No. 8" pbc="T T T"
Li -0.870 -2.485 0.506
Li -2.145 0.450 -6.988
Pt 0.022 0.174 -5.207
Pt 0.564 -1.335 -1.413
Br -4.732 -1.160 -4.606
Br -2.953 -2.162 -1.342


4
Lattice="-1.635 -3.098 -2.738 3.552 -0.251 2.661 -4.061 -2.443 5.190" Properties=species:S:1:pos:R:3 comment="LiPtBr2 | the Alexandria database | PBE-GGA | relaxed" dos_ef_per_ev_cell=1.7 formation_energy_uncorrected_ev_per_atom=-0.302 de_polymorph_kj_per_mol_fu=69 spacegroup="No. 65" pbc="T T T"
Br -4.035 -2.427 5.156
Br -2.057 -1.237 2.629
Pt -2.087 -3.507 3.854
Li -0.056 -2.286 1.259


4
Lattice="8.319 -0.070 -0.018 6.787 4.811 0.018 -7.554 -2.367 2.558" Properties=species:S:1:pos:R:3 comment="LiPtBr2 | the Alexandria database | PBE-GGA | relaxed" dos_ef_per_ev_cell=0.9 formation_energy_uncorrected_ev_per_atom=-0.411 de_polymorph_kj_per_mol_fu=27 spacegroup="No. 44" pbc="T T T"
Li 7.833 2.458 0.000
Br 0.102 0.032 0.000
Br 4.179 -0.027 1.270
Pt 2.991 2.281 1.288


3
Lattice="-5.868 -5.641 0.131 -5.232 -5.182 2.896 -2.330 1.344 -1.011" Properties=species:S:1:pos:R:3 comment="LiPtBr | the Alexandria database | PBE-GGA | relaxed" dos_ef_per_ev_cell=1.7 formation_energy_uncorrected_ev_per_atom=-0.143 de_polymorph_kj_per_mol_fu=148 spacegroup="No. 42" pbc="T T T"
Br -10.786 -10.388 2.882
Li -5.259 -2.720 0.338
Pt -8.484 -7.195 1.823


16
Lattice="5.468 0.000 0.000 -2.734 7.255 0.000 0.000 0.000 11.897" Properties=species:S:1:pos:R:3 comment="Li2PtBr5 | the Alexandria database | PBE-GGA | relaxed" dos_ef_per_ev_cell=2.5 formation_energy_uncorrected_ev_per_atom=-0.880 spacegroup="No. 63" pbc="T T T"
Br 0.000 4.219 8.923
Br 0.000 4.670 4.778
Br 2.734 3.037 2.974
Br 0.000 1.145 4.707
Br 2.734 2.586 10.726
Br 2.734 2.586 7.119
Br 0.000 4.670 1.170
Br 0.000 1.145 1.241
Br 2.734 6.110 7.190
Br 2.734 6.110 10.655
Li 2.734 4.478 0.739
Li 0.000 2.778 11.157
Li 2.734 4.478 5.209
Li 0.000 2.778 6.688
Pt 0.000 2.919 2.974
Pt 2.734 4.336 8.923


6
Lattice="3.719 0.000 0.000 0.000 2.079 -8.208 0.000 2.079 8.208" Properties=species:S:1:pos:R:3 comment="LiPtBr | the Alexandria database | PBE-GGA | relaxed" dos_ef_per_ev_cell=0.0 formation_energy_uncorrected_ev_per_atom=-0.591 de_polymorph_kj_per_mol_fu=18 spacegroup="No. 38" pbc="T T T"
Li 0.000 2.079 -3.576
Li 1.860 2.079 -1.009
Br 0.000 2.079 -6.215
Br 1.860 2.079 4.757
Pt 0.000 2.079 6.698
Pt 1.860 2.079 -7.911


3
Lattice="4.257 0.000 0.000 2.129 3.687 0.000 2.129 1.229 3.476" Properties=species:S:1:pos:R:3 comment="LiPtBr | the Alexandria database | PBE-GGA | relaxed" dos_ef_per_ev_cell=2.0 formation_energy_uncorrected_ev_per_atom=0.042 de_polymorph_kj_per_mol_fu=201 spacegroup="No. 216" pbc="T T T"
Pt 0.000 0.000 0.000
Br 4.257 2.458 1.738
Li 6.386 3.687 2.607


6
Lattice="4.286 0.000 -0.009 0.000 3.731 0.000 -2.000 0.000 8.438" Properties=species:S:1:pos:R:3 comment="LiPtBr | the Alexandria database | PBE-GGA | relaxed" dos_ef_per_ev_cell=0.0 formation_energy_uncorrected_ev_per_atom=-0.588 de_polymorph_kj_per_mol_fu=19 spacegroup="No. 6" pbc="T T T"
Pt -1.316 0.000 8.237
Pt 0.640 1.866 1.572
Br 0.599 0.000 3.337
Br -1.146 1.866 6.366
Li 2.805 1.866 0.136
Li 2.721 0.000 4.667


14
Lattice="-5.886 -3.002 2.723 -1.347 0.732 -6.980 7.354 -6.452 0.957" Properties=species:S:1:pos:R:3 comment="LiPtBr5 | the Alexandria database | PBE-GGA | relaxed" dos_ef_per_ev_cell=2.9 formation_energy_uncorrected_ev_per_atom=-0.526 spacegroup="No. 15" pbc="T T T"
Li -4.365 -3.957 -1.289
Li 4.486 -4.766 -2.011
Br -1.073 -4.757 0.552
Br 2.309 -8.226 1.662
Br 0.423 -1.858 -1.664
Br 5.005 -6.247 0.083
Br -4.884 -2.475 -3.383
Br -2.189 -4.075 -2.737
Br 2.310 -4.648 -0.563
Br 1.193 -3.965 -3.852
Br -2.188 -0.496 -4.962
Br -0.302 -6.865 -1.636
Pt 0.060 -4.361 -1.650
Pt 0.000 0.000 0.000


4
Lattice="3.852 0.000 0.000 0.000 5.128 0.047 0.000 -0.468 5.368" Properties=species:S:1:pos:R:3 comment="LiPtBr2 | the Alexandria database | PBE-GGA | relaxed" dos_ef_per_ev_cell=2.0 formation_energy_uncorrected_ev_per_atom=-0.333 de_polymorph_kj_per_mol_fu=57 spacegroup="No. 10" pbc="T T T"
Li 1.926 1.165 1.354
Br 0.000 2.389 2.766
Br 0.000 4.601 5.357
Pt 1.926 3.495 4.061


3
Lattice="-1.349 -3.758 1.777 -4.108 -0.385 1.441 -2.840 -2.536 -2.146" Properties=species:S:1:pos:R:3 comment="LiPtBr | the Alexandria database | PBE-GGA | relaxed" dos_ef_per_ev_cell=0.8 formation_energy_uncorrected_ev_per_atom=-0.099 de_polymorph_kj_per_mol_fu=160 spacegroup="No. 216" pbc="T T T"
Br -6.223 -5.009 0.804
Pt -4.148 -3.339 0.536
Li -2.074 -1.670 0.268


4
Lattice="-6.249 2.035 -4.465 -6.190 -1.583 -4.723 -2.334 -0.236 2.772" Properties=species:S:1:pos:R:3 comment="LiPtBr2 | the Alexandria database | PBE-GGA | relaxed" dos_ef_per_ev_cell=1.8 formation_energy_uncorrected_ev_per_atom=-0.409 de_polymorph_kj_per_mol_fu=28 spacegroup="No. 8" pbc="T T T"
Pt -11.626 0.153 -4.808
Br -3.911 0.029 -1.310
Br -14.438 0.235 -6.608
Li -6.955 0.123 -3.315